# 1
Below is crystalline LaPr9Dy2 at its relaxed geometry, with properties calculated at the PBE level.

The structure in CIF format:
```
data_LaPr9Dy2
_space_group_name_H-M_alt 'P 4/m m m'
_space_group_IT_number 123
_space_group_name_Hall '-P 4 2'
_cell_length_a 5.2147
_cell_length_b 5.2147
_cell_length_c 15.6698
_cell_angle_alpha 90.00
_cell_angle_beta 90.00
_cell_angle_gamma 90.00
loop_
_atom_site_label
_atom_site_type_symbol
_atom_site_fract_x
_atom_site_fract_y
_atom_site_fract_z
_atom_site_occupancy
La1 La 0.0000 0.0000 0.0000 1
Pr1 Pr 0.0000 0.5000 0.1699 1
Pr2 Pr 0.0000 0.5000 0.5000 1
Pr3 Pr 0.5000 0.5000 0.0000 1
Pr4 Pr 0.5000 0.5000 0.3360 1
Dy1 Dy 0.0000 0.0000 0.3347 1
```

Magnetic moment: 0.00 μB/cell
DFT total energy: -4.747 eV/atom
ΔH_f (0 K): 0.02 eV/atom


# 2
Below is crystalline La2Pr3Dy2 at its relaxed geometry, with properties calculated at the PBE level.

The structure in CIF format:
```
data_La2Pr3Dy2
_space_group_name_H-M_alt 'P -1'
_space_group_IT_number 2
_space_group_name_Hall '-P 1'
_cell_length_a 3.6889
_cell_length_b 6.3294
_cell_length_c 11.0310
_cell_angle_alpha 95.48
_cell_angle_beta 90.01
_cell_angle_gamma 106.92
loop_
_atom_site_label
_atom_site_type_symbol
_atom_site_fract_x
_atom_site_fract_y
_atom_site_fract_z
_atom_site_occupancy
La1 La 0.2166 0.4322 0.3551 1
Pr1 Pr 0.3583 0.7164 0.9298 1
Pr2 Pr 0.5000 0.0000 0.5000 1
Dy1 Dy 0.0703 0.1406 0.7876 1
```

E above lowest polymorph: 0 meV/atom
Magnetic moment: 0.00 μB/cell
DFT total energy: -4.758 eV/atom
ΔH_f (0 K): 0.01 eV/atom


# 3
Below is crystalline La3Pr2Dy at its relaxed geometry, with properties calculated at the PBE level.

The structure in CIF format:
```
data_La3Pr2Dy
_space_group_name_H-M_alt 'P 63/m c m'
_space_group_IT_number 193
_space_group_name_Hall '-P 6c 2'
_cell_length_a 6.4355
_cell_length_b 6.4355
_cell_length_c 12.0385
_cell_angle_alpha 90.00
_cell_angle_beta 90.00
_cell_angle_gamma 120.00
loop_
_atom_site_label
_atom_site_type_symbol
_atom_site_fract_x
_atom_site_fract_y
_atom_site_fract_z
_atom_site_occupancy
La1 La 0.0000 0.3303 0.2500 1
Pr1 Pr 0.3333 0.6667 0.0000 1
Dy1 Dy 0.0000 0.0000 0.0000 1
```

E above lowest polymorph: 0 meV/atom
Magnetic moment: 0.00 μB/cell
DFT total energy: -4.805 eV/atom
ΔH_f (0 K): 0.02 eV/atom


# 4
Below is crystalline La2PrDy at its relaxed geometry, with properties calculated at the PBE level.

The structure in CIF format:
```
data_La2PrDy
_space_group_name_H-M_alt 'F m -3 m'
_space_group_IT_number 225
_space_group_name_Hall '-F 4 2 3'
_cell_length_a 8.3125
_cell_length_b 8.3125
_cell_length_c 8.3125
_cell_angle_alpha 90.00
_cell_angle_beta 90.00
_cell_angle_gamma 90.00
loop_
_atom_site_label
_atom_site_type_symbol
_atom_site_fract_x
_atom_site_fract_y
_atom_site_fract_z
_atom_site_occupancy
La1 La 0.2500 0.2500 0.2500 1
Pr1 Pr 0.0000 0.0000 0.0000 1
Dy1 Dy 0.0000 0.0000 0.5000 1
```

E above lowest polymorph: 102 meV/atom
Magnetic moment: 0.02 μB/cell
DFT total energy: -4.696 eV/atom
ΔH_f (0 K): 0.11 eV/atom


# 5
Below is crystalline La4Pr2Dy3 at its relaxed geometry, with properties calculated at the PBE level.

The structure in CIF format:
```
data_La4Pr2Dy3
_space_group_name_H-M_alt 'F m m m'
_space_group_IT_number 69
_space_group_name_Hall '-F 2 2'
_cell_length_a 6.4777
_cell_length_b 12.3818
_cell_length_c 15.8782
_cell_angle_alpha 90.00
_cell_angle_beta 90.00
_cell_angle_gamma 90.00
loop_
_atom_site_label
_atom_site_type_symbol
_atom_site_fract_x
_atom_site_fract_y
_atom_site_fract_z
_atom_site_occupancy
La1 La 0.0000 0.1435 0.1901 1
Pr1 Pr 0.0000 0.0000 0.3903 1
Dy1 Dy 0.0000 0.0000 0.0000 1
Dy2 Dy 0.2500 0.2500 0.0000 1
```

E above lowest polymorph: 85 meV/atom
Magnetic moment: 0.00 μB/cell
DFT total energy: -4.644 eV/atom
ΔH_f (0 K): 0.14 eV/atom


# 6
Below is crystalline La3PrDy12 at its relaxed geometry, with properties calculated at the PBE level.

The structure in CIF format:
```
data_La3PrDy12
_space_group_name_H-M_alt 'P 4/m m m'
_space_group_IT_number 123
_space_group_name_Hall '-P 4 2'
_cell_length_a 5.0824
_cell_length_b 5.0824
_cell_length_c 20.3362
_cell_angle_alpha 90.00
_cell_angle_beta 90.00
_cell_angle_gamma 90.00
loop_
_atom_site_label
_atom_site_type_symbol
_atom_site_fract_x
_atom_site_fract_y
_atom_site_fract_z
_atom_site_occupancy
La1 La 0.0000 0.0000 0.0000 1
La2 La 0.0000 0.0000 0.2499 1
Pr1 Pr 0.0000 0.0000 0.5000 1
Dy1 Dy 0.0000 0.5000 0.1254 1
Dy2 Dy 0.0000 0.5000 0.3760 1
Dy3 Dy 0.5000 0.5000 0.0000 1
Dy4 Dy 0.5000 0.5000 0.2508 1
Dy5 Dy 0.5000 0.5000 0.5000 1
```

Magnetic moment: 0.00 μB/cell
DFT total energy: -4.646 eV/atom
ΔH_f (0 K): 0.03 eV/atom


# 7
Below is crystalline LaPr3Dy2 at its relaxed geometry, with properties calculated at the PBE level.

The structure in CIF format:
```
data_LaPr3Dy2
_space_group_name_H-M_alt 'I m m m'
_space_group_IT_number 71
_space_group_name_Hall '-I 2 2'
_cell_length_a 3.5215
_cell_length_b 6.0445
_cell_length_c 19.9396
_cell_angle_alpha 90.00
_cell_angle_beta 90.00
_cell_angle_gamma 90.00
loop_
_atom_site_label
_atom_site_type_symbol
_atom_site_fract_x
_atom_site_fract_y
_atom_site_fract_z
_atom_site_occupancy
La1 La 0.0000 0.0000 0.0000 1
Pr1 Pr 0.0000 0.0000 0.1911 1
Pr2 Pr 0.0000 0.5000 0.0000 1
Dy1 Dy 0.0000 0.0000 0.3620 1
```

E above lowest polymorph: 237 meV/atom
Magnetic moment: 0.00 μB/cell
DFT total energy: -4.454 eV/atom
ΔH_f (0 K): 0.29 eV/atom


# 8
Below is crystalline La2Pr7Dy2 at its relaxed geometry, with properties calculated at the PBE level.

The structure in CIF format:
```
data_La2Pr7Dy2
_space_group_name_H-M_alt 'C m m m'
_space_group_IT_number 65
_space_group_name_Hall '-C 2 2'
_cell_length_a 6.8065
_cell_length_b 12.4427
_cell_length_c 9.6355
_cell_angle_alpha 90.00
_cell_angle_beta 90.00
_cell_angle_gamma 90.00
loop_
_atom_site_label
_atom_site_type_symbol
_atom_site_fract_x
_atom_site_fract_y
_atom_site_fract_z
_atom_site_occupancy
La1 La 0.2486 0.0000 0.0000 1
Pr1 Pr 0.0000 0.0000 0.5000 1
Pr2 Pr 0.0000 0.5000 0.3231 1
Pr3 Pr 0.2500 0.2500 0.1841 1
Dy1 Dy 0.0000 0.2678 0.5000 1
```

E above lowest polymorph: 182 meV/atom
Magnetic moment: 0.72 μB/cell
DFT total energy: -4.467 eV/atom
ΔH_f (0 K): 0.31 eV/atom


# 9
Below is crystalline La12PrDy7 at its relaxed geometry, with properties calculated at the PBE level.

The structure in CIF format:
```
data_La12PrDy7
_space_group_name_H-M_alt 'R -3 m'
_space_group_IT_number 166
_space_group_name_Hall '-R 3 2"'
_cell_length_a 19.6306
_cell_length_b 19.6306
_cell_length_c 6.3885
_cell_angle_alpha 90.00
_cell_angle_beta 90.00
_cell_angle_gamma 120.00
loop_
_atom_site_label
_atom_site_type_symbol
_atom_site_fract_x
_atom_site_fract_y
_atom_site_fract_z
_atom_site_occupancy
La1 La 0.0000 0.4076 0.0000 1
La2 La 0.0961 0.5481 0.4797 1
Pr1 Pr 0.0000 0.0000 0.5000 1
Dy1 Dy 0.0000 0.0000 0.0000 1
Dy2 Dy 0.0832 0.1664 0.3011 1
```

E above lowest polymorph: 121 meV/atom
Magnetic moment: 0.00 μB/cell
DFT total energy: -4.600 eV/atom
ΔH_f (0 K): 0.21 eV/atom


# 10
Below is crystalline La5Pr2Dy4 at its relaxed geometry, with properties calculated at the PBE level.

The structure in CIF format:
```
data_La5Pr2Dy4
_space_group_name_H-M_alt 'I m m m'
_space_group_IT_number 71
_space_group_name_Hall '-I 2 2'
_cell_length_a 3.5838
_cell_length_b 9.3626
_cell_length_c 23.8502
_cell_angle_alpha 90.00
_cell_angle_beta 90.00
_cell_angle_gamma 90.00
loop_
_atom_site_label
_atom_site_type_symbol
_atom_site_fract_x
_atom_site_fract_y
_atom_site_fract_z
_atom_site_occupancy
La1 La 0.0000 0.0000 0.0000 1
La2 La 0.0000 0.3009 0.3557 1
Pr1 Pr 0.0000 0.5000 0.2319 1
Dy1 Dy 0.0000 0.1846 0.5000 1
Dy2 Dy 0.0000 0.5000 0.0959 1
```

E above lowest polymorph: 23 meV/atom
Magnetic moment: 0.00 μB/cell
DFT total energy: -4.626 eV/atom
ΔH_f (0 K): 0.16 eV/atom


# 11
Below is crystalline La2PrDy at its relaxed geometry, with properties calculated at the PBE level.

The structure in CIF format:
```
data_La2PrDy
_space_group_name_H-M_alt 'R 3 m'
_space_group_IT_number 160
_space_group_name_Hall 'R 3 -2"'
_cell_length_a 3.6979
_cell_length_b 3.6979
_cell_length_c 35.9233
_cell_angle_alpha 90.00
_cell_angle_beta 90.00
_cell_angle_gamma 120.00
loop_
_atom_site_label
_atom_site_type_symbol
_atom_site_fract_x
_atom_site_fract_y
_atom_site_fract_z
_atom_site_occupancy
La1 La 0.0000 0.0000 0.0000 1
La2 La 0.0000 0.0000 0.1621 1
Pr1 Pr 0.0000 0.0000 0.5830 1
Dy1 Dy 0.0000 0.0000 0.4145 1
```

E above lowest polymorph: 7 meV/atom
Magnetic moment: 0.00 μB/cell
DFT total energy: -4.790 eV/atom
ΔH_f (0 K): 0.02 eV/atom


# 12
Below is crystalline LaPr3Dy12 at its relaxed geometry, with properties calculated at the PBE level.

The structure in CIF format:
```
data_LaPr3Dy12
_space_group_name_H-M_alt 'P 4/m m m'
_space_group_IT_number 123
_space_group_name_Hall '-P 4 2'
_cell_length_a 5.0764
_cell_length_b 5.0764
_cell_length_c 20.2966
_cell_angle_alpha 90.00
_cell_angle_beta 90.00
_cell_angle_gamma 90.00
loop_
_atom_site_label
_atom_site_type_symbol
_atom_site_fract_x
_atom_site_fract_y
_atom_site_fract_z
_atom_site_occupancy
La1 La 0.0000 0.0000 0.0000 1
Pr1 Pr 0.0000 0.0000 0.2498 1
Pr2 Pr 0.0000 0.0000 0.5000 1
Dy1 Dy 0.0000 0.5000 0.1258 1
Dy2 Dy 0.0000 0.5000 0.3751 1
Dy3 Dy 0.5000 0.5000 0.0000 1
Dy4 Dy 0.5000 0.5000 0.2506 1
Dy5 Dy 0.5000 0.5000 0.5000 1
```

Magnetic moment: 0.00 μB/cell
DFT total energy: -4.632 eV/atom
ΔH_f (0 K): 0.02 eV/atom


> The highest magnetic moment belongs to which entry?

La2Pr7Dy2